Entry 1:
Compound: LaUBr3N
Source: OQMD
Functional: PBE
Structure: optimized geometry

Its final energy is -0.2404 hartree per atom.

Cell: 9.0495 9.0495 11.5033 Å, 120.10 120.10 25.92°
Element x y z (fractional)
Br1 0.9526 0.9526 0.2548
La1 0.8661 0.8661 0.7151
Br2 0.3384 0.3384 0.4901
U1 0.4225 0.4225 0.0411
La2 0.1339 0.1339 0.2849
Br3 0.6616 0.6616 0.5099
Br4 0.2229 0.2229 0.1167
N1 0.4331 0.4331 0.8587
Br5 0.7771 0.7771 0.8833
N2 0.5669 0.5669 0.1413
Br6 0.0474 0.0474 0.7452
U2 0.5775 0.5775 0.9589

=====

Entry 2:
Compound: LiNdOs
Source: OQMD
Functional: PBE
Structure: optimized geometry

Its final energy is -0.1979 hartree per atom. The value obtained for the energy above the lowest structure with this stoichiometry is 0.000 eV per atom.

Cell: 4.3703 4.3703 4.3703 Å, 60.00 60.00 60.00°
Element x y z (fractional)
Nd1 0.2500 0.2500 0.2500
Os1 0.7500 0.7500 0.7500
Li1 0.0000 0.0000 0.0000